# 1
Below is a crystal of Co2NiIr relaxed with PBEsol, with properties calculated at the SCAN level.

Formation enthalpy at 0 K: 0.06 eV per atom
Volume: 46 Å³/cell
Space group: Pmm2, No. 25

a b c (Å): 2.555 3.537 5.039
angles (deg): 90.00 90.00 90.00
Atoms (fractional coordinates):
Co 0.000 0.000 0.000
Co 0.500 0.500 0.241
Ni 0.500 0.500 0.760
Ir 0.000 0.000 0.497



# 2
Below is a crystal of Co2NiIr relaxed with PBEsol, with properties calculated at the SCAN level.

Formation enthalpy at 0 K: 0.02 eV per atom
Volume: 92 Å³/cell
Space group: Cmmm, No. 65

a b c (Å): 5.049 7.105 2.553
angles (deg): 90.00 90.00 90.00
Atoms (fractional coordinates):
Co 0.250 0.250 0.000
Co 0.250 0.750 0.000
Co 0.750 0.250 0.000
Co 0.750 0.750 0.000
Ni 0.000 0.000 0.500
Ni 0.500 0.500 0.500
Ir 0.000 0.500 0.500
Ir 0.500 0.000 0.500



# 3
Below is a crystal of Co2NiIr relaxed with PBEsol, with properties calculated at the SCAN level.

Formation enthalpy at 0 K: 0.04 eV per atom
Volume: 92 Å³/cell
Space group: C2/m, No. 12

a b c (Å): 8.377 2.565 4.345
angles (deg): 90.00 100.55 90.00
Atoms (fractional coordinates):
Co 0.250 0.000 0.243
Co 0.250 0.500 0.757
Co 0.750 0.000 0.757
Co 0.750 0.500 0.243
Ni 0.000 0.500 0.000
Ni 0.500 0.000 0.000
Ir 0.000 0.000 0.500
Ir 0.500 0.500 0.500



# 4
Below is a crystal of Co2NiIr relaxed with PBEsol, with properties calculated at the SCAN level.

Formation enthalpy at 0 K: 0.05 eV per atom
Volume: 88 Å³/cell
Space group: I4/mmm, No. 139

a b c (Å): 3.528 3.528 7.105
angles (deg): 90.00 90.00 90.00
Atoms (fractional coordinates):
Co 0.000 0.500 0.250
Co 0.000 0.500 0.750
Co 0.500 0.000 0.250
Co 0.500 0.000 0.750
Ni 0.000 0.000 0.000
Ni 0.500 0.500 0.500
Ir 0.000 0.000 0.500
Ir 0.500 0.500 0.000



# 5
Below is a crystal of CoNi2Ir relaxed with PBEsol, with properties calculated at the SCAN level.

Formation enthalpy at 0 K: 0.06 eV per atom
Relative energy among the computed polymorphs: 69.9 meV/atom
Volume: 140 Å³/cell
Space group: R-3m, No. 166

a b c (Å): 2.570 2.570 24.438
angles (deg): 90.00 90.00 120.00
Atoms (fractional coordinates):
Co 0.000 0.000 0.000
Co 0.333 0.667 0.667
Co 0.667 0.333 0.333
Ni 0.000 0.000 0.254
Ni 0.000 0.000 0.746
Ni 0.333 0.667 0.413
Ni 0.333 0.667 0.920
Ni 0.667 0.333 0.080
Ni 0.667 0.333 0.587
Ir 0.000 0.000 0.500
Ir 0.333 0.667 0.167
Ir 0.667 0.333 0.833



# 6
Below is a crystal of Co2NiIr relaxed with PBEsol, with properties calculated at the SCAN level.

Formation enthalpy at 0 K: 0.08 eV per atom
Volume: 46 Å³/cell
Space group: P4mm, No. 99

a b c (Å): 2.570 2.570 6.931
angles (deg): 90.00 90.00 90.00
Atoms (fractional coordinates):
Co 0.000 0.000 0.000
Co 0.500 0.500 0.232
Ni 0.500 0.500 0.760
Ir 0.000 0.000 0.493



# 7
Below is a crystal of Co2NiIr relaxed with PBEsol, with properties calculated at the SCAN level.

Formation enthalpy at 0 K: 0.01 eV per atom
Volume: 46 Å³/cell
Space group: P2/m, No. 10

a b c (Å): 4.355 2.559 4.367
angles (deg): 90.00 109.10 90.00
Atoms (fractional coordinates):
Co 0.000 0.000 0.000
Co 0.500 0.500 0.000
Ni 0.000 0.500 0.500
Ir 0.500 0.000 0.500



# 8
Below is a crystal of Co2NiIr relaxed with PBEsol, with properties calculated at the SCAN level.

Formation enthalpy at 0 K: -0.01 eV per atom
Volume: 46 Å³/cell
Space group: P4/mmm, No. 123

a b c (Å): 3.575 3.575 3.572
angles (deg): 90.00 90.00 90.00
Atoms (fractional coordinates):
Co 0.000 0.500 0.000
Co 0.500 0.000 0.000
Ni 0.000 0.000 0.500
Ir 0.500 0.500 0.500



# 9
Below is a crystal of CoNiIr relaxed with PBEsol, with properties calculated at the SCAN level.

Formation enthalpy at 0 K: 0.05 eV per atom
Relative energy among the computed polymorphs: 0.0 meV/atom
Volume: 36 Å³/cell
Space group: P3m1, No. 156

a b c (Å): 2.599 2.599 6.139
angles (deg): 90.00 90.00 120.00
Atoms (fractional coordinates):
Co 0.000 0.000 0.000
Ni 0.667 0.333 0.314
Ir 0.333 0.667 0.661



# 10
Below is a crystal of Co2NiIr relaxed with PBEsol, with properties calculated at the SCAN level.

Formation enthalpy at 0 K: 0.07 eV per atom
Volume: 140 Å³/cell
Space group: R3m, No. 160

a b c (Å): 2.574 2.574 24.351
angles (deg): 90.00 90.00 120.00
Atoms (fractional coordinates):
Co 0.000 0.000 0.000
Co 0.000 0.000 0.255
Co 0.333 0.667 0.667
Co 0.333 0.667 0.922
Co 0.667 0.333 0.333
Co 0.667 0.333 0.588
Ni 0.000 0.000 0.508
Ni 0.333 0.667 0.175
Ni 0.667 0.333 0.841
Ir 0.000 0.000 0.753
Ir 0.333 0.667 0.420
Ir 0.667 0.333 0.087



# 11
Below is a crystal of CoNi2Ir relaxed with PBEsol, with properties calculated at the SCAN level.

Formation enthalpy at 0 K: -0.01 eV per atom
Relative energy among the computed polymorphs: 0.0 meV/atom
Volume: 46 Å³/cell
Space group: P4/mmm, No. 123

a b c (Å): 3.550 3.550 3.629
angles (deg): 90.00 90.00 90.00
Atoms (fractional coordinates):
Co 0.000 0.000 0.000
Ni 0.000 0.500 0.500
Ni 0.500 0.000 0.500
Ir 0.500 0.500 0.000



# 12
Below is a crystal of Co2NiIr relaxed with PBEsol, with properties calculated at the SCAN level.

Formation enthalpy at 0 K: 0.05 eV per atom
Volume: 45 Å³/cell
Space group: Pmmm, No. 47

a b c (Å): 2.560 3.520 5.018
angles (deg): 90.00 90.00 90.00
Atoms (fractional coordinates):
Co 0.000 0.000 0.242
Co 0.000 0.000 0.758
Ni 0.500 0.500 0.000
Ir 0.500 0.500 0.500